[1]
! HgSbW2, optimized geometry, DFT PBE; values from VASP
&SYSTEM
  ibrav = 0, nat = 4, ntyp = 3
/
ATOMIC_SPECIES
W 183.84 W.upf
Sb 121.76 Sb.upf
Hg 200.59 Hg.upf
CELL_PARAMETERS angstrom
1.142 -2.965 3.446
-2.933 -3.460 1.184
1.095 -4.447 -1.001
ATOMIC_POSITIONS crystal
W 0.250 0.250 0.250
Sb 0.000 0.000 0.000
W 0.750 0.750 0.750
Hg 0.500 0.500 0.500
! Formation energy without anion corrections: 0.956 eV/atom
! Raw total energy: -6.6263 eV per atom
! Distance to the lowest polymorph of the same formula: 2.04 eV/f.u.

=====

[2]
! Hg2SbW, optimized geometry, DFT PBE; values from VASP
&SYSTEM
  ibrav = 0, nat = 4, ntyp = 3
/
ATOMIC_SPECIES
Sb 121.76 Sb.upf
Hg 200.59 Hg.upf
W 183.84 W.upf
CELL_PARAMETERS angstrom
2.995 0.000 0.000
0.000 2.995 0.000
0.000 0.000 9.684
ATOMIC_POSITIONS crystal
Sb 0.500 0.500 0.250
Hg 0.000 0.000 0.531
Hg 0.000 0.000 0.969
W 0.500 0.500 0.750
! Formation energy without anion corrections: 0.756 eV/atom
! Raw total energy: -3.6636 eV per atom

=====

[3]
! HgSbW2, optimized geometry, DFT PBE; values from VASP
&SYSTEM
  ibrav = 0, nat = 4, ntyp = 3
/
ATOMIC_SPECIES
W 183.84 W.upf
Sb 121.76 Sb.upf
Hg 200.59 Hg.upf
CELL_PARAMETERS angstrom
-2.673 -3.613 -3.229
-3.557 -3.363 2.581
1.279 5.263 -1.133
ATOMIC_POSITIONS crystal
W 0.013 0.013 0.000
Sb 0.250 0.750 0.500
W 0.487 0.487 0.000
Hg 0.750 0.250 0.500
! Formation energy without anion corrections: 0.930 eV/atom
! Raw total energy: -6.6526 eV per atom
! Distance to the lowest polymorph of the same formula: 1.93 eV/f.u.

=====

[4]
! HgSbW2, optimized geometry, DFT PBE; values from VASP
&SYSTEM
  ibrav = 0, nat = 4, ntyp = 3
/
ATOMIC_SPECIES
W 183.84 W.upf
Hg 200.59 Hg.upf
Sb 121.76 Sb.upf
CELL_PARAMETERS angstrom
-3.322 3.383 -0.463
-1.827 0.973 -4.291
-4.500 -1.201 -1.001
ATOMIC_POSITIONS crystal
W 0.750 0.750 0.750
W 0.000 0.000 0.000
Hg 0.500 0.500 0.500
Sb 0.250 0.250 0.250
! Formation energy without anion corrections: 1.005 eV/atom
! Raw total energy: -6.5779 eV per atom
! Distance to the lowest polymorph of the same formula: 2.23 eV/f.u.

=====

[5]
! Hg2SbW, optimized geometry, DFT PBE; values from VASP
&SYSTEM
  ibrav = 0, nat = 4, ntyp = 3
/
ATOMIC_SPECIES
Hg 200.59 Hg.upf
W 183.84 W.upf
Sb 121.76 Sb.upf
CELL_PARAMETERS angstrom
5.547 0.001 0.000
-2.338 5.030 0.000
0.000 0.000 3.000
ATOMIC_POSITIONS crystal
Hg 0.500 0.500 0.000
Hg 0.000 0.000 0.000
W 0.000 0.500 0.500
Sb 0.500 0.000 0.500
! Formation energy without anion corrections: 0.823 eV/atom
! Raw total energy: -3.5970 eV per atom

=====

[6]
! Hg2SbW, optimized geometry, DFT PBE; values from VASP
&SYSTEM
  ibrav = 0, nat = 8, ntyp = 3
/
ATOMIC_SPECIES
W 183.84 W.upf
Hg 200.59 Hg.upf
Sb 121.76 Sb.upf
CELL_PARAMETERS angstrom
9.449 0.000 0.000
0.000 9.449 0.000
4.725 4.725 2.593
ATOMIC_POSITIONS crystal
W 0.000 0.000 0.000
Hg 0.008 0.625 0.250
Sb 0.250 0.750 0.500
W 0.750 0.250 0.500
Hg 0.375 0.258 0.750
Hg 0.875 0.992 0.750
Sb 0.500 0.500 0.000
Hg 0.742 0.125 0.250
! Formation energy without anion corrections: 0.903 eV/atom
! Raw total energy: -3.5168 eV per atom

=====

[7]
! HgSbW2, optimized geometry, DFT PBE; values from VASP
&SYSTEM
  ibrav = 0, nat = 4, ntyp = 3
/
ATOMIC_SPECIES
W 183.84 W.upf
Hg 200.59 Hg.upf
Sb 121.76 Sb.upf
CELL_PARAMETERS angstrom
-1.619 -9.348 -1.612
1.236 -9.541 -0.205
-1.409 -9.389 1.570
ATOMIC_POSITIONS crystal
W 0.261 0.261 0.261
Hg 0.509 0.509 0.509
Sb 0.739 0.739 0.739
W 0.991 0.991 0.991
! Formation energy without anion corrections: 0.447 eV/atom
! Raw total energy: -7.1354 eV per atom
! Distance to the lowest polymorph of the same formula: 0.00 eV/f.u.

=====

[8]
! Hg2Sb2W, optimized geometry, DFT PBE; values from VASP
&SYSTEM
  ibrav = 0, nat = 5, ntyp = 3
/
ATOMIC_SPECIES
Hg 200.59 Hg.upf
Sb 121.76 Sb.upf
W 183.84 W.upf
CELL_PARAMETERS angstrom
-0.618 0.201 -3.667
1.290 -3.469 -0.407
-8.510 -5.077 -0.736
ATOMIC_POSITIONS crystal
Hg 0.750 0.250 0.500
Sb 0.422 0.422 0.155
W 0.000 0.000 0.000
Sb 0.578 0.578 0.845
Hg 0.250 0.750 0.500
! Formation energy without anion corrections: 0.654 eV/atom
! Raw total energy: -3.7065 eV per atom
! Distance to the lowest polymorph of the same formula: 0.00 eV/f.u.

=====

[9]
! Hg2SbW, optimized geometry, DFT PBE; values from VASP
&SYSTEM
  ibrav = 0, nat = 4, ntyp = 3
/
ATOMIC_SPECIES
W 183.84 W.upf
Hg 200.59 Hg.upf
Sb 121.76 Sb.upf
CELL_PARAMETERS angstrom
-2.835 -3.598 -1.922
3.299 -1.571 -1.925
0.787 -2.375 3.286
ATOMIC_POSITIONS crystal
W 0.500 0.000 0.500
Hg 0.000 0.500 0.500
Hg 0.000 0.000 0.000
Sb 0.500 0.500 0.000
! Formation energy without anion corrections: 0.905 eV/atom
! Raw total energy: -3.5145 eV per atom

=====

[10]
! HgSbW2, optimized geometry, DFT PBE; values from VASP
&SYSTEM
  ibrav = 0, nat = 4, ntyp = 3
/
ATOMIC_SPECIES
Hg 200.59 Hg.upf
W 183.84 W.upf
Sb 121.76 Sb.upf
CELL_PARAMETERS angstrom
3.218 0.000 0.000
0.000 4.952 -0.009
0.000 3.247 4.699
ATOMIC_POSITIONS crystal
Hg 0.500 0.500 0.500
W 0.500 0.500 0.000
Sb 0.000 0.000 0.500
W 0.000 0.000 0.000
! Formation energy without anion corrections: 0.873 eV/atom
! Raw total energy: -6.7101 eV per atom
! Distance to the lowest polymorph of the same formula: 1.70 eV/f.u.

=====

[11]
! HgSbW2, optimized geometry, DFT PBE; values from VASP
&SYSTEM
  ibrav = 0, nat = 4, ntyp = 3
/
ATOMIC_SPECIES
Hg 200.59 Hg.upf
W 183.84 W.upf
Sb 121.76 Sb.upf
CELL_PARAMETERS angstrom
2.936 0.014 0.000
-1.154 2.700 0.000
0.000 0.000 10.639
ATOMIC_POSITIONS crystal
Hg 0.000 0.000 0.458
W 0.000 0.000 0.027
W 0.500 0.500 0.217
Sb 0.500 0.500 0.798
! Formation energy without anion corrections: 0.536 eV/atom
! Raw total energy: -7.0464 eV per atom
! Distance to the lowest polymorph of the same formula: 0.36 eV/f.u.

=====

[12]
! HgSbW, optimized geometry, DFT PBE; values from VASP
&SYSTEM
  ibrav = 0, nat = 3, ntyp = 3
/
ATOMIC_SPECIES
Sb 121.76 Sb.upf
Hg 200.59 Hg.upf
W 183.84 W.upf
CELL_PARAMETERS angstrom
7.526 0.001 0.000
6.255 4.186 0.000
-6.891 -2.093 2.187
ATOMIC_POSITIONS crystal
Sb 0.301 0.301 0.000
Hg 0.031 0.031 0.000
W 0.668 0.668 0.000
! Formation energy without anion corrections: 0.744 eV/atom
! Raw total energy: -5.0488 eV per atom
! Distance to the lowest polymorph of the same formula: 0.20 eV/f.u.